# 1
First-principles (GGA-PBE) data for a relaxed structure of SrLaAl, as listed in Alexandria.

Unit cell a=4.007 b=17.838 c=5.652 alpha=90.00 beta=90.00 gamma=90.00
Atoms (fractional coordinates):
Sr 0.000 0.072 0.250
Sr 0.000 0.928 0.750
Sr 0.500 0.428 0.750
Sr 0.500 0.572 0.250
La 0.000 0.225 0.750
La 0.000 0.775 0.250
La 0.500 0.275 0.250
La 0.500 0.725 0.750
Al 0.000 0.413 0.250
Al 0.000 0.587 0.750
Al 0.500 0.087 0.750
Al 0.500 0.913 0.250

## Properties
Its space group is Cmcm. The magnetic moment is 0.0 μB per formula unit. The value obtained for the energy of formation from the pure elements is -92 meV/atom.


# 2
First-principles (GGA-PBE) data for a relaxed structure of Fe2AsPb, as listed in Alexandria.

Unit cell a=3.894 b=3.218 c=11.670 alpha=90.00 beta=90.00 gamma=90.00
Atoms (fractional coordinates):
Fe 0.000 0.000 0.000
Fe 0.000 0.500 0.500
Fe 0.500 0.000 0.125
Fe 0.500 0.500 0.625
As 0.500 0.000 0.470
As 0.500 0.500 0.970
Pb 0.000 0.000 0.742
Pb 0.000 0.500 0.242

## Properties
Its space group is Amm2. The magnetic moment is 4.7 μB per formula unit. The value obtained for the energy of formation from the pure elements is 234 meV/atom.


# 3
First-principles (GGA-PBE) data for a relaxed structure of Sc2GaReC, as listed in Alexandria.

Unit cell a=4.518 b=4.518 c=3.973 alpha=90.00 beta=90.00 gamma=90.00
Atoms (fractional coordinates):
Sc 0.000 0.500 0.000
Sc 0.500 0.000 0.000
Ga 0.000 0.000 0.500
Re 0.500 0.500 0.500
C 0.500 0.500 0.000

## Properties
Its space group is P4/mmm. The magnetic moment is 0.0 μB per formula unit. The value obtained for the energy of formation from the pure elements is -474 meV/atom.


# 4
First-principles (GGA-PBE) data for a relaxed structure of Re2PdAu2, as listed in Alexandria.

Unit cell a=7.982 b=7.982 c=2.780 alpha=90.00 beta=90.00 gamma=90.00
Atoms (fractional coordinates):
Re 0.105 0.395 0.000
Re 0.395 0.895 0.000
Re 0.605 0.105 0.000
Re 0.895 0.605 0.000
Pd 0.000 0.000 0.500
Pd 0.500 0.500 0.500
Au 0.188 0.688 0.500
Au 0.312 0.188 0.500
Au 0.688 0.812 0.500
Au 0.812 0.312 0.500

## Properties
Its space group is P4/mbm. The magnetic moment is 0.0 μB per formula unit. The value obtained for the energy of formation from the pure elements is 698 meV/atom.


# 5
First-principles (GGA-PBE) data for a relaxed structure of SrCl, as listed in Alexandria.

Unit cell a=4.093 b=4.093 c=7.823 alpha=90.00 beta=90.00 gamma=90.00
Atoms (fractional coordinates):
Sr 0.250 0.250 0.221
Sr 0.750 0.750 0.779
Cl 0.250 0.250 0.631
Cl 0.750 0.750 0.369

## Properties
The value obtained for the uncorrected formation energy is -1.735 eV per atom. Its space group is P4/nmm. The magnetic moment is 0.0 μB per formula unit.


# 6
First-principles (GGA-PBE) data for a relaxed structure of CaSbRhI2, as listed in Alexandria.

Unit cell a=5.530 b=5.530 c=5.177 alpha=90.00 beta=90.00 gamma=90.00
Atoms (fractional coordinates):
Ca 0.000 0.000 0.000
Sb 0.500 0.500 0.000
Rh 0.500 0.500 0.500
I 0.000 0.500 0.500
I 0.500 0.000 0.500

## Properties
The value obtained for the uncorrected formation energy is -0.254 eV per atom. Its space group is P4/mmm. The magnetic moment is 0.0 μB per formula unit.